A relaxed CsKCo2F8 crystal, computed with GGA+U.

Structure (CIF):
```
data_CsKCo2F8
_space_group_name_H-M_alt 'P 1'
_space_group_IT_number 1
_space_group_name_Hall 'P 1'
_cell_length_a 5.987
_cell_length_b 5.987
_cell_length_c 8.581
_cell_angle_alpha 69.58
_cell_angle_beta 69.58
_cell_angle_gamma 60.00
loop_
_atom_site_label
_atom_site_type_symbol
_atom_site_fract_x
_atom_site_fract_y
_atom_site_fract_z
_atom_site_occupancy
F1 F 0.172 0.172 0.485 1
K1 K 0.000 0.000 0.000 1
F2 F 0.700 0.032 0.814 1
F3 F 0.454 0.700 0.814 1
F4 F 0.546 0.300 0.186 1
Cs1 Cs 0.500 0.500 0.500 1
F5 F 0.300 0.968 0.186 1
Co1 Co 0.751 0.751 0.747 1
F6 F 0.968 0.546 0.186 1
Co2 Co 0.249 0.249 0.253 1
F7 F 0.032 0.454 0.814 1
F8 F 0.828 0.828 0.515 1
```

- energy (eV per atom) = -4.427
- crystal system = trigonal
- SG = R-3